No. 1
A plane-wave DFT calculation with PBE was carried out for crystalline POsRh2 at its relaxed geometry.

Calculated values
- SG = No. 71
- uncorrected energy (eV per atom) = -7.866
- energy of formation (eV per formula unit) = -0.12
- theoretical density (g/cm3) = 13.02

a = 5.086 Å, b = 5.086 Å, c = 5.086 Å
α = 146.55°, β = 130.68°, γ = 60.91°
Element x y z (fractional)
P 0.500 0.000 0.500
Os 0.000 0.500 0.500
Rh 0.710 0.710 0.000
Rh 0.290 0.290 0.000

No. 2
A plane-wave DFT calculation with PBE was carried out for crystalline AcTl2Zn2Se4 at its relaxed geometry.

Calculated values
- SG = No. 12
- uncorrected energy (eV per atom) = -3.623
- theoretical density (g/cm3) = 6.69
- formation energy without anion corrections (eV per formula unit) = -7.3

a = 4.499 Å, b = 7.876 Å, c = 8.304 Å
α = 107.82°, β = 105.72°, γ = 90.00°
Element x y z (fractional)
Ac 0.000 0.000 0.000
Tl 0.129 0.568 0.258
Tl 0.871 0.432 0.742
Zn 0.682 0.004 0.365
Zn 0.318 0.996 0.635
Se 0.208 0.178 0.416
Se 0.792 0.822 0.584
Se 0.535 0.760 0.070
Se 0.465 0.240 0.930

Which of these has the lowest theoretical density? AcTl2Zn2Se4